# 1
PBE NpRuC, relaxed; mass density = 13.40 g cm⁻³; space-group type = Fddd, No. 70; total DFT energy (no corrections) = -0.744 Ry per atom; calculated formation energy = 0.35 eV per atom; density of states at the Fermi level = 5.09 states/eV/f.u.; distance to the lowest polymorph of the same formula = 170.8 meV per atom
1.0
0.0000 4.5876 5.5837
3.3876 0.0000 5.5837
3.3876 4.5876 0.0000
Np Ru C
4 4 4
Direct
0.0000 0.0000 0.0000 Np
0.0000 0.0000 0.5000 Np
0.0000 0.5000 0.0000 Np
0.5000 0.0000 0.0000 Np
0.2561 0.2561 0.4939 Ru
0.4939 0.4939 0.2561 Ru
0.5061 0.5061 0.7439 Ru
0.7439 0.7439 0.5061 Ru
0.2012 0.5488 0.2012 C
0.4512 0.7988 0.4512 C
0.5488 0.2012 0.5488 C
0.7988 0.4512 0.7988 C


# 2
PBE PuZn2Cl8, relaxed; mass density = 3.05 g cm⁻³; energy relative to the elements, uncorrected = -125.3 kJ/mol of atoms; space-group type = C2/m, No. 12; total DFT energy (no corrections) = -0.307 Ry per atom; density of states at the Fermi level = 6.22 states/eV/f.u.
1.0
7.1190 -3.9888 0.0000
7.1190 3.9888 0.0000
-0.2396 0.0000 6.3164
Pu Zn Cl
1 2 8
Direct
0.0000 0.0000 0.0000 Pu
0.1766 0.1766 0.6245 Zn
0.8234 0.8234 0.3755 Zn
0.1353 0.6978 0.2398 Cl
0.1500 0.1500 0.2525 Cl
0.3022 0.8647 0.7602 Cl
0.3262 0.3262 0.6907 Cl
0.6738 0.6738 0.3093 Cl
0.6978 0.1353 0.2398 Cl
0.8500 0.8500 0.7475 Cl
0.8647 0.3022 0.7602 Cl


# 3
PBE KLaBe, relaxed; mass density = 2.97 g cm⁻³; space-group type = I4mm, No. 107; total DFT energy (no corrections) = -0.203 Ry per atom; calculated formation energy = 0.49 eV per atom; density of states at the Fermi level = 2.51 states/eV/f.u.; distance to the lowest polymorph of the same formula = 0.0 meV per atom
1.0
-1.8265 1.8265 7.8335
1.8265 -1.8265 7.8335
1.8265 1.8265 -7.8335
K La Be
1 1 1
Direct
0.0000 0.0000 0.0000 K
0.7536 0.7536 0.0000 La
0.3451 0.3451 0.0000 Be


# 4
PBE Dy6SbAs4, relaxed; mass density = 7.99 g cm⁻³; energy relative to the elements, uncorrected = -128.5 kJ/mol of atoms; space-group type = Cmcm, No. 63; total DFT energy (no corrections) = -0.434 Ry per atom; density of states at the Fermi level = 4.25 states/eV/f.u.
1.0
2.0732 -6.7537 0.0000
2.0732 6.7537 0.0000
0.0000 0.0000 20.7340
Dy Sb As
12 2 8
Direct
0.0000 0.0000 0.0000 Dy
0.0000 0.0000 0.5000 Dy
0.1688 0.8312 0.7500 Dy
0.2722 0.7278 0.0823 Dy
0.2722 0.7278 0.4177 Dy
0.4597 0.5403 0.6616 Dy
0.4597 0.5403 0.8384 Dy
0.5403 0.4597 0.1616 Dy
0.5403 0.4597 0.3384 Dy
0.7278 0.2722 0.5823 Dy
0.7278 0.2722 0.9177 Dy
0.8312 0.1688 0.2500 Dy
0.1627 0.8373 0.2500 Sb
0.8373 0.1627 0.7500 Sb
0.0928 0.9072 0.6250 As
0.0928 0.9072 0.8750 As
0.3632 0.6368 0.5424 As
0.3632 0.6368 0.9576 As
0.6368 0.3632 0.0424 As
0.6368 0.3632 0.4576 As
0.9072 0.0928 0.1250 As
0.9072 0.0928 0.3750 As


# 5
PBE AlTe2Os, relaxed; mass density = 9.36 g cm⁻³; energy relative to the elements, uncorrected = 55.8 kJ/mol of atoms; space-group type = Pmmm, No. 47; total DFT energy (no corrections) = -0.348 Ry per atom; density of states at the Fermi level = 2.72 states/eV/f.u.
1.0
3.2229 0.0000 0.0000
0.0000 3.4332 0.0000
0.0000 0.0000 7.5720
Al Te Os
1 2 1
Direct
0.0000 0.0000 0.0000 Al
0.5000 0.5000 0.2819 Te
0.5000 0.5000 0.7181 Te
0.0000 0.0000 0.5000 Os


# 6
PBE Cr2CuOs, relaxed; mass density = 11.82 g cm⁻³; space-group type = C2/m, No. 12; total DFT energy (no corrections) = -0.614 Ry per atom; calculated formation energy = 0.30 eV per atom; density of states at the Fermi level = 4.29 states/eV/f.u.
1.0
4.3958 -1.3738 0.0000
4.3958 1.3738 0.0000
-1.0047 0.0000 4.1611
Cr Cu Os
2 1 1
Direct
0.2477 0.2477 0.2429 Cr
0.7523 0.7523 0.7571 Cr
0.0000 0.0000 0.5000 Cu
0.5000 0.5000 0.0000 Os